Entry from Alexandria via LeMat-Bulk: a relaxed CsAlPb crystal (PBE-GGA).

abc: 9.8835 9.8835 5.1732
angles: 90.00 90.00 150.52
With the nearest neighbours (Å) after each atom.
Fractional coordinates of all 6 atoms:
Cs  0.0892  0.9108  0.7500  4 Al 3.89, 4 Pb 3.96-4.03, 2 Cs 4.28
Cs  0.9108  0.0892  0.2500  4 Al 3.89, 4 Pb 3.96-4.03, 2 Cs 4.28
Al  0.3348  0.6652  0.7500  4 Pb 3.00-3.05
Al  0.6652  0.3348  0.2500  4 Pb 3.00-3.05
Pb  0.2506  0.7494  0.2500  4 Al 3.00-3.05
Pb  0.7494  0.2506  0.7500  4 Al 3.00-3.05

Values from the calculation:
The calculation puts the density of states at the Fermi level at 1.56 states/eV/f.u. The calculation puts the energy at -0.099 Ha/atom. Its calculated formation energy is 68.3 meV per atom.